No. 1
# YPuPb2 | Alexandria via LeMat-Bulk | PBE | optimized geometry
data_YPuPb2
_chemical_formula_sum 'Y1 Pu1 Pb2'
_space_group_name_H-M_alt 'P 1'
_space_group_IT_number 1
_cell_length_a 3.514
_cell_length_b 3.514
_cell_length_c 9.116
_cell_angle_alpha 90.00
_cell_angle_beta 90.00
_cell_angle_gamma 90.00
loop_
_space_group_symop_operation_xyz
'x,y,z'
loop_
_atom_site_label
_atom_site_type_symbol
_atom_site_fract_x
_atom_site_fract_y
_atom_site_fract_z
Pb1 Pb 0.000 0.000 0.254
Pb2 Pb 0.000 0.000 0.746
Y1 Y 0.500 0.500 0.500
Pu1 Pu 0.500 0.500 0.000
# Energy relative to the elements   -0.319 eV/atom
# M_tot   6.132 Bohr magnetons per cell
# SG   P4/mmm, No. 123


No. 2
# La2BeInN | Alexandria via LeMat-Bulk | PBE | optimized geometry
data_La2BeInN
_chemical_formula_sum 'La2 Be1 In1 N1'
_space_group_name_H-M_alt 'P 1'
_space_group_IT_number 1
_cell_length_a 5.676
_cell_length_b 5.676
_cell_length_c 3.307
_cell_angle_alpha 90.00
_cell_angle_beta 90.00
_cell_angle_gamma 90.00
loop_
_space_group_symop_operation_xyz
'x,y,z'
loop_
_atom_site_label
_atom_site_type_symbol
_atom_site_fract_x
_atom_site_fract_y
_atom_site_fract_z
In1 In 0.500 0.500 0.500
Be1 Be 0.000 0.000 0.500
N1 N 0.000 0.000 0.000
La1 La 0.500 0.000 0.000
La2 La 0.000 0.500 0.000
# M_tot   0.000 Bohr magnetons per cell
# ΔE_f (raw)   -588 meV/atom
# SG   P4/mmm, No. 123


No. 3
# Dy2ZnNi12P3 | Alexandria via LeMat-Bulk | PBE | optimized geometry
data_Dy2ZnNi12P3
_chemical_formula_sum 'Dy2 Zn1 Ni12 P3'
_space_group_name_H-M_alt 'P 1'
_space_group_IT_number 1
_cell_length_a 6.251
_cell_length_b 6.251
_cell_length_c 6.251
_cell_angle_alpha 84.81
_cell_angle_beta 84.81
_cell_angle_gamma 84.81
loop_
_space_group_symop_operation_xyz
'x,y,z'
loop_
_atom_site_label
_atom_site_type_symbol
_atom_site_fract_x
_atom_site_fract_y
_atom_site_fract_z
Ni1 Ni 0.621 0.105 0.621
Ni2 Ni 0.105 0.621 0.621
Ni3 Ni 0.379 0.379 0.895
Ni4 Ni 0.379 0.895 0.379
Ni5 Ni 0.895 0.379 0.379
Ni6 Ni 0.179 0.691 0.179
Ni7 Ni 0.821 0.821 0.309
Ni8 Ni 0.821 0.309 0.821
Ni9 Ni 0.179 0.179 0.691
Ni10 Ni 0.691 0.179 0.179
Ni11 Ni 0.621 0.621 0.105
Ni12 Ni 0.309 0.821 0.821
P1 P 0.500 0.000 0.000
P2 P 0.000 0.500 0.000
P3 P 0.000 0.000 0.500
Dy1 Dy 0.344 0.344 0.344
Dy2 Dy 0.656 0.656 0.656
Zn1 Zn 0.000 0.000 0.000
# Energy relative to the elements   -0.180 eV/atom
# M_tot   0.000 Bohr magnetons per cell
# SG   R-3m, No. 166


No. 4
# LiTi2VBi | Alexandria via LeMat-Bulk | PBE | optimized geometry
data_LiTi2VBi
_chemical_formula_sum 'Li1 Ti2 V1 Bi1'
_space_group_name_H-M_alt 'P 1'
_space_group_IT_number 1
_cell_length_a 5.149
_cell_length_b 4.544
_cell_length_c 5.149
_cell_angle_alpha 90.00
_cell_angle_beta 90.00
_cell_angle_gamma 90.00
loop_
_space_group_symop_operation_xyz
'x,y,z'
loop_
_atom_site_label
_atom_site_type_symbol
_atom_site_fract_x
_atom_site_fract_y
_atom_site_fract_z
Li1 Li 0.000 0.500 0.000
Ti1 Ti 0.000 0.000 0.500
Ti2 Ti 0.500 0.000 0.000
Bi1 Bi 0.000 0.000 0.000
V1 V 0.500 0.500 0.500
# Energy relative to the elements   1.302 eV/atom
# M_tot   1.173 Bohr magnetons per cell
# SG   P4/mmm, No. 123


No. 5
# NaSr3Cl7 | Alexandria via LeMat-Bulk | PBE | optimized geometry
data_NaSr3Cl7
_chemical_formula_sum 'Na2 Sr6 Cl14'
_space_group_name_H-M_alt 'P 1'
_space_group_IT_number 1
_cell_length_a 8.503
_cell_length_b 8.503
_cell_length_c 9.635
_cell_angle_alpha 90.00
_cell_angle_beta 90.00
_cell_angle_gamma 107.57
loop_
_space_group_symop_operation_xyz
'x,y,z'
loop_
_atom_site_label
_atom_site_type_symbol
_atom_site_fract_x
_atom_site_fract_y
_atom_site_fract_z
Cl1 Cl 0.112 0.361 0.975
Cl2 Cl 0.639 0.887 0.976
Cl3 Cl 0.113 0.361 0.524
Cl4 Cl 0.639 0.361 0.750
Cl5 Cl 0.361 0.639 0.250
Cl6 Cl 0.361 0.113 0.476
Cl7 Cl 0.888 0.639 0.475
Cl8 Cl 0.096 0.904 0.750
Cl9 Cl 0.370 0.630 0.750
Cl10 Cl 0.639 0.888 0.525
Cl11 Cl 0.887 0.639 0.024
Cl12 Cl 0.630 0.370 0.250
Cl13 Cl 0.904 0.096 0.250
Cl14 Cl 0.361 0.112 0.025
Sr1 Sr 0.545 0.005 0.250
Sr2 Sr 0.005 0.545 0.750
Sr3 Sr 0.455 0.995 0.750
Sr4 Sr 0.500 0.500 0.500
Sr5 Sr 0.995 0.455 0.250
Sr6 Sr 0.500 0.500 0.000
Na1 Na 0.000 0.000 0.500
Na2 Na 0.000 0.000 0.000
# M_tot   0.000 Bohr magnetons per cell
# ΔE_f (raw)   -2330 meV/atom
# SG   C222_1, No. 20


No. 6
# CaAgBr2 | Alexandria via LeMat-Bulk | PBE | optimized geometry
data_CaAgBr2
_chemical_formula_sum 'Ca1 Ag1 Br2'
_space_group_name_H-M_alt 'P 1'
_space_group_IT_number 1
_cell_length_a 7.534
_cell_length_b 7.534
_cell_length_c 7.534
_cell_angle_alpha 151.83
_cell_angle_beta 143.63
_cell_angle_gamma 46.63
loop_
_space_group_symop_operation_xyz
'x,y,z'
loop_
_atom_site_label
_atom_site_type_symbol
_atom_site_fract_x
_atom_site_fract_y
_atom_site_fract_z
Br1 Br 0.975 0.975 0.000
Br2 Br 0.686 0.186 0.500
Ag1 Ag 0.313 0.813 0.500
Ca1 Ca 0.526 0.526 0.000
# M_tot   0.000 Bohr magnetons per cell
# Polymorph energy (0 for the lowest one)   0.122 eV per atom
# ΔE_f (raw)   -938 meV/atom
# SG   Imm2, No. 44


No. 7
# Cs2AgCl4F2 | Alexandria via LeMat-Bulk | PBE | optimized geometry
data_Cs2AgCl4F2
_chemical_formula_sum 'Cs2 Ag1 Cl4 F2'
_space_group_name_H-M_alt 'P 1'
_space_group_IT_number 1
_cell_length_a 7.368
_cell_length_b 7.368
_cell_length_c 7.368
_cell_angle_alpha 81.64
_cell_angle_beta 124.94
_cell_angle_gamma 124.94
loop_
_space_group_symop_operation_xyz
'x,y,z'
loop_
_atom_site_label
_atom_site_type_symbol
_atom_site_fract_x
_atom_site_fract_y
_atom_site_fract_z
Ag1 Ag 0.000 0.000 0.000
Cl1 Cl 0.000 0.750 0.250
Cl2 Cl 0.000 0.250 0.750
Cl3 Cl 0.500 0.250 0.250
Cl4 Cl 0.500 0.750 0.750
F1 F 0.000 0.190 0.190
F2 F 0.000 0.810 0.810
Cs1 Cs 0.500 0.250 0.750
Cs2 Cs 0.500 0.750 0.250
# M_tot   0.910 Bohr magnetons per cell
# ΔE_f (raw)   -1250 meV/atom
# SG   I4/mmm, No. 139


No. 8
# Ca2AgCl2O2 | Alexandria via LeMat-Bulk | PBE | optimized geometry
data_Ca2AgCl2O2
_chemical_formula_sum 'Ca2 Ag1 Cl2 O2'
_space_group_name_H-M_alt 'P 1'
_space_group_IT_number 1
_cell_length_a 4.176
_cell_length_b 4.176
_cell_length_c 7.913
_cell_angle_alpha 105.30
_cell_angle_beta 105.30
_cell_angle_gamma 90.00
loop_
_space_group_symop_operation_xyz
'x,y,z'
loop_
_atom_site_label
_atom_site_type_symbol
_atom_site_fract_x
_atom_site_fract_y
_atom_site_fract_z
Ca1 Ca 0.392 0.392 0.783
Ca2 Ca 0.608 0.608 0.217
O1 O 0.500 0.000 0.000
O2 O 0.000 0.500 0.000
Cl1 Cl 0.807 0.807 0.615
Cl2 Cl 0.193 0.193 0.385
Ag1 Ag 0.000 0.000 0.000
# M_tot   0.000 Bohr magnetons per cell
# ΔE_f (raw)   -1775 meV/atom
# SG   I4/mmm, No. 139


In order of appearance, E_tot = -29.49 -27.58 -99.32 -24.19 -89.85 -11.95 -26.94 -32.89 eV/cell.